1.
## InReRu2 (PBE)

Data for an optimized crystal structure of InReRu2.

Cell: 3.0660 4.6299 8.8399 Å, 90.00 90.00 90.00°
With the nearest neighbours (Å) after each atom.
Space group Immm (No. 71)
Inequivalent atoms, fractional coordinates:
In 0.0000 0.0000 0.0000 x2  4 Ru 2.71, 4 Re 2.78
Re 0.0000 0.0000 0.5000 x2  4 Ru 2.67, 4 In 2.78
Ru 0.0000 0.5000 0.2468 x4  2 Re 2.67, 2 In 2.71, 4 Ru 2.78

Its density is 13.32 Mg/m³. Its formation energy is 1.795 eV/f.u.

2.
## Ac2Zn3PdAu4 (PBE)

Data for an optimized crystal structure of Ac2Zn3PdAu4.

Cell: 4.5823 4.5823 10.5995 Å, 90.00 90.00 90.00°
With the nearest neighbours (Å) after each atom.
Space group P-4m2 (No. 115)
Inequivalent atoms, fractional coordinates:
Ac 0.0000 0.5000 0.2417 x2  8 Au 3.41-3.57, 2 Pd 3.44, 6 Zn 3.44-3.56
Zn 0.0000 0.0000 0.0000 x1  4 Au 2.73
Zn 0.0000 0.5000 0.6200 x2  5 Au 2.54-2.62
Pd 0.5000 0.5000 0.0000 x1  4 Au 2.73
Au 0.0000 0.0000 0.5000 x1  4 Zn 2.62
Au 0.0000 0.5000 0.8597 x2  3 Zn 2.54-2.73, 2 Pd 2.73
Au 0.5000 0.5000 0.5000 x1  4 Zn 2.62

Its density is 11.52 Mg/m³. Its formation energy is -5.766 eV/f.u.

3.
## Ta2AsAu (PBE)

Data for an optimized crystal structure of Ta2AsAu.

Cell: 6.5211 6.5211 6.5211 Å, 90.00 90.00 90.00°
With the nearest neighbours (Å) after each atom.
Space group Fm-3m (No. 225)
Inequivalent atoms, fractional coordinates:
Ta 0.2500 0.2500 0.2500 x8  4 As 2.82, 4 Au 2.82
As 0.0000 0.0000 0.0000 x4  8 Ta 2.82
Au 0.0000 0.0000 0.5000 x4  8 Ta 2.82

The polymorph energy (0 for the lowest one) comes out at 117 meV/atom. Its density is 15.18 Mg/m³. Its formation energy is 0.119 eV/f.u.

4.
## Sm4InHg2 (PBE)

Data for an optimized crystal structure of Sm4InHg2.

Cell: 5.3218 5.3218 25.3545 Å, 90.00 90.00 120.00°
With the nearest neighbours (Å) after each atom.
Space group R-3m (No. 166, hexagonal axes)
Inequivalent atoms, fractional coordinates:
Sm 0.0000 0.0000 0.1152 x6  4 Hg 3.14-3.28, 3 In 3.34
Sm 0.0000 0.0000 0.3692 x6  4 Hg 3.17-3.35, 1 In 3.32
In 0.0000 0.0000 0.5000 x3  8 Sm 3.32-3.34, 6 Hg 3.65
Hg 0.0000 0.0000 0.2444 x6  8 Sm 3.14-3.35

The polymorph energy (0 for the lowest one) comes out at 0 meV/atom. Its density is 8.95 Mg/m³. Its formation energy is -2.181 eV/f.u.

5.
## YPtSe2 (PBE)

Data for an optimized crystal structure of YPtSe2.

Cell: 6.8676 6.8676 6.8676 Å, 90.00 90.00 90.00°
With the nearest neighbours (Å) after each atom.
Space group Fm-3m (No. 225)
Inequivalent atoms, fractional coordinates:
Y 0.0000 0.0000 0.0000 x4  8 Se 2.97
Pt 0.0000 0.0000 0.5000 x4  8 Se 2.97
Se 0.2500 0.2500 0.2500 x8  4 Pt 2.97, 4 Y 2.97

As for the energy relative to the elements, uncorrected: -0.730 eV per atom. Its density is 9.06 Mg/m³.

6.
## TlIn4Pb2 (PBE)

Data for an optimized crystal structure of TlIn4Pb2.

Cell: 8.1181 8.1181 6.7592 Å, 90.00 90.00 90.00°
With the nearest neighbours (Å) after each atom.
Space group I4/mmm (No. 139)
Inequivalent atoms, fractional coordinates:
Tl 0.0000 0.0000 0.0000 x2  8 In 3.33
In 0.2500 0.2500 0.2500 x8  2 Tl 3.33, 4 Pb 3.33, 2 In 3.38
Pb 0.0000 0.5000 0.0000 x4  8 In 3.33, 2 Pb 3.38

The polymorph energy (0 for the lowest one) comes out at 20 meV/atom. Its density is 8.04 Mg/m³. Its formation energy is 0.719 eV/f.u.

7.
## SmTaP2 (PBE)

Data for an optimized crystal structure of SmTaP2.

Cell: 3.7897 3.7897 18.8582 Å, 90.00 90.00 120.00°
With the nearest neighbours (Å) after each atom.
Space group R-3m (No. 166, hexagonal axes)
Inequivalent atoms, fractional coordinates:
Sm 0.0000 0.0000 0.0000 x3  6 P 2.83
Ta 0.0000 0.0000 0.5000 x3  6 P 2.57
P 0.0000 0.0000 0.2386 x6  3 Ta 2.57, 3 Sm 2.83

Its density is 8.35 Mg/m³. Its formation energy is -4.180 eV/f.u.

8.
## NaMgFeBi2 (PBE)

Data for an optimized crystal structure of NaMgFeBi2.

Cell: 5.5585 5.5585 4.9918 Å, 90.00 90.00 90.00°
With the nearest neighbours (Å) after each atom.
Space group P4/mmm (No. 123)
Inequivalent atoms, fractional coordinates:
Na 0.0000 0.0000 0.0000 x1  8 Bi 3.74, 4 Fe 3.93
Mg 0.5000 0.5000 0.5000 x1  2 Fe 2.50, 4 Bi 2.78
Fe 0.5000 0.5000 0.0000 x1  2 Mg 2.50
Bi 0.0000 0.5000 0.5000 x2  2 Mg 2.78

Its density is 5.61 Mg/m³. Its formation energy is 3.210 eV/f.u.

9.
## GeSbMoW (PBE)

Data for an optimized crystal structure of GeSbMoW.

Cell: 3.3596 5.0134 5.1322 Å, 92.30 108.89 109.42°
With the nearest neighbours (Å) after each atom.
Space group P1 (No. 1)
Inequivalent atoms, fractional coordinates:
Ge 0.0000 0.0000 0.0000 x1  3 W 2.73-2.81, 3 Mo 2.79-2.91
Sb 0.5037 0.3712 0.6441 x1  3 Mo 2.74-2.81, 3 W 2.87-2.89
Mo 0.8523 0.4880 0.2155 x1  2 W 2.61, 3 Sb 2.74-2.81, 3 Ge 2.79-2.91
W 0.6506 0.8929 0.4135 x1  2 Mo 2.61, 3 Ge 2.73-2.81, 3 Sb 2.87-2.89

As for the energy relative to the elements, uncorrected: 0.317 eV per atom. The polymorph energy (0 for the lowest one) comes out at 170 meV/atom. Its density is 10.35 Mg/m³.

10.
## PmPrCdRu (PBE)

Data for an optimized crystal structure of PmPrCdRu.

Cell: 3.5729 3.5729 7.9411 Å, 90.00 90.00 90.00°
With the nearest neighbours (Å) after each atom.
Space group P4mm (No. 99)
Inequivalent atoms, fractional coordinates:
Pm 0.0000 0.0000 0.0000 x1  4 Ru 3.03, 4 Cd 3.35
Pr 0.0000 0.0000 0.4325 x1  4 Ru 3.08, 4 Cd 3.42, 1 Pm 3.43
Cd 0.5000 0.5000 0.7221 x1  4 Pm 3.35, 4 Pr 3.42, 4 Cd 3.57
Ru 0.5000 0.5000 0.2110 x1  4 Pm 3.03, 4 Pr 3.08

The polymorph energy (0 for the lowest one) comes out at 0 meV/atom. Its density is 8.18 Mg/m³. Its formation energy is -0.970 eV/f.u.

11.
## PaFeGeRh (PBE)

Data for an optimized crystal structure of PaFeGeRh.

Cell: 6.4880 6.4880 6.4880 Å, 90.00 90.00 90.00°
With the nearest neighbours (Å) after each atom.
Space group F-43m (No. 216)
Inequivalent atoms, fractional coordinates:
Pa 0.0000 0.0000 0.0000 x4  4 Rh 2.81, 4 Fe 2.81
Fe 0.2500 0.2500 0.2500 x4  4 Pa 2.81, 4 Ge 2.81
Ge 0.0000 0.0000 0.5000 x4  4 Fe 2.81, 4 Rh 2.81
Rh 0.2500 0.2500 0.7500 x4  4 Ge 2.81, 4 Pa 2.81

Its density is 11.25 Mg/m³. Its formation energy is -1.278 eV/f.u.

12.
## Ac5Sb4Cl (PBE)

Data for an optimized crystal structure of Ac5Sb4Cl.

Cell: 24.4191 4.7705 6.6928 Å, 90.00 105.87 90.00°
With the nearest neighbours (Å) after each atom.
Space group C2/m (No. 12)
Inequivalent atoms, fractional coordinates:
Ac 0.0000 0.0000 0.0000 x2  4 Sb 3.32, 2 Cl 3.35
Ac 0.1016 0.5000 0.6015 x4  4 Sb 3.28-3.35, 2 Cl 3.37
Ac 0.2005 0.0000 0.2004 x4  6 Sb 3.35-3.39
Sb 0.0982 0.5000 0.0982 x4  6 Ac 3.32-3.38
Sb 0.1972 0.0000 0.6972 x4  6 Ac 3.28-3.39
Cl 0.0000 0.0000 0.5000 x2  6 Ac 3.35-3.37

As for the energy relative to the elements, uncorrected: -1.280 eV per atom. Its density is 7.34 Mg/m³.

13.
## Cs3CrFe (PBE)

Data for an optimized crystal structure of Cs3CrFe.

Cell: 6.7790 6.7790 6.7790 Å, 90.00 90.00 90.00°
With the nearest neighbours (Å) after each atom.
Space group Pm-3m (No. 221)
Inequivalent atoms, fractional coordinates:
Cs 0.0000 0.0000 0.5000 x3  2 Fe 3.39
Cr 0.5000 0.5000 0.5000 x1  12 Cs 4.79
Fe 0.0000 0.0000 0.0000 x1  6 Cs 3.39

Its density is 2.70 Mg/m³. Its formation energy is 6.229 eV/f.u.

14.
## Er8PPb2 (PBE)

Data for an optimized crystal structure of Er8PPb2.

Cell: 17.9060 5.0436 6.7306 Å, 90.00 93.95 90.00°
With the nearest neighbours (Å) after each atom.
Space group C2/m (No. 12)
Inequivalent atoms, fractional coordinates:
Er 0.0246 0.0000 0.2646 x4  2 P 3.03, 1 Er 3.35
Er 0.0904 0.5000 0.9171 x4  1 P 3.14, 2 Pb 3.38, 4 Er 3.43-3.50
Er 0.1482 0.5000 0.4157 x4  1 P 2.75
Er 0.2133 0.0000 0.1384 x4  3 Pb 3.15-3.43, 4 Er 3.39-3.45
P 0.0000 0.5000 0.5000 x2  6 Er 2.75-3.03
Pb 0.1719 0.0000 0.6758 x4  8 Er 3.08-3.43

Its density is 9.77 Mg/m³. Its formation energy is -4.641 eV/f.u.

15.
## NaLi3Y (PBE)

Data for an optimized crystal structure of NaLi3Y.

Cell: 5.0671 5.0671 5.0671 Å, 90.00 90.00 90.00°
With the nearest neighbours (Å) after each atom.
Space group Pm-3m (No. 221)
Inequivalent atoms, fractional coordinates:
Na 0.0000 0.0000 0.0000 x1  6 Li 2.53
Li 0.0000 0.0000 0.5000 x3  2 Na 2.53
Y 0.5000 0.5000 0.5000 x1  12 Li 3.58

The polymorph energy (0 for the lowest one) comes out at 0 meV/atom. Its density is 1.69 Mg/m³. Its formation energy is 2.098 eV/f.u.

16.
## BeCdPt2 (PBE)

Data for an optimized crystal structure of BeCdPt2.

Cell: 3.4190 4.6330 7.6771 Å, 90.00 90.00 90.00°
With the nearest neighbours (Å) after each atom.
Space group Immm (No. 71)
Inequivalent atoms, fractional coordinates:
Be 0.0000 0.0000 0.0000 x2  4 Pt 2.31
Cd 0.0000 0.0000 0.5000 x2  8 Pt 2.79-2.86, 4 Be 2.88
Pt 0.0000 0.5000 0.2981 x4  2 Be 2.31

The polymorph energy (0 for the lowest one) comes out at 216 meV/atom. Its density is 13.97 Mg/m³. Its formation energy is -1.379 eV/f.u.